Here is an optimized crystal structure of TeAsPb2 from Alexandria via LeMat-Bulk. Energies are from PBE.

The structure in extended XYZ format:
```
4
Lattice="4.417 -0.004 0.007 2.254 3.798 0.007 2.131 1.212 7.340" Properties=species:S:1:pos:R:3 pbc="T T T"
Pb 2.141 1.218 7.131
As 6.601 3.755 5.516
Pb 4.390 2.497 3.886
Te 2.200 1.252 1.839
```

Values from the calculation:
**ΔE_f (raw)**: -12.2 kJ per mole of atoms
**Uncorrected energy**: -3.928 eV per atom
**Calculated volume**: 123 Å³/f.u.
**SG**: C2/m